Entry from Alexandria: crystalline Rb3ZrRe at its relaxed geometry (PBE).

```
Rb3ZrRe
1.0
-5.9181 2.1293 -2.8959
-3.5062 -4.6482 3.7477
-0.7916 4.6696 5.0510
Rb Re Zr
3 1 1
Cartesian
-1.7531 -2.3241 1.8738
-2.9591 1.0646 -1.4480
-0.3958 2.3348 2.5255
-5.1080 1.0753 2.9514
0.0000 0.0000 0.0000
```

Computed properties:
Total DFT energy (no corrections)   -12.19 eV per cell
Energy of formation   2341 meV per atom


Entry from Alexandria: crystalline RbZrRe2 at its relaxed geometry (PBE).

```
RbZrRe2
1.0
-2.9869 -3.1460 2.1751
3.7886 -2.0554 2.2297
-0.6288 3.4302 9.5114
Rb Re Zr
2 4 2
Cartesian
0.4009 -2.6007 2.2024
1.7803 -0.6129 6.9718
-0.5929 -3.3800 5.8131
-2.8526 -0.3062 9.1736
-2.1071 -1.9520 4.4214
-0.8771 1.0052 8.3698
-1.6074 -1.1582 6.9445
0.0000 0.0000 0.0000
```

Computed properties:
Total DFT energy (no corrections)   -55.39 eV per cell
Energy of formation   1679 meV per atom


Entry from Alexandria: crystalline Rb4Rh at its relaxed geometry (PBE).

```
Rb4Rh
1.0
-1.7094 3.4532 -5.4475
-3.4582 -5.2477 -2.2414
-5.4443 2.2491 3.1341
Rb Rh
4 1
Cartesian
0.0000 0.0000 0.0000
-3.5768 2.8511 -1.1567
-2.5838 -0.8973 -3.8444
-4.4512 -1.4993 0.4464
-5.3059 0.2273 -2.2774
```

Computed properties:
Total DFT energy (no corrections)   -8.87 eV per cell
Energy of formation   470 meV per atom


Entry from Alexandria: crystalline Rb3Rh at its relaxed geometry (PBE).

```
Rb3Rh
1.0
6.0456 -0.1263 0.0000
0.1158 6.0458 0.0000
-3.0807 -2.9598 4.2795
Rb Rh
3 1
Cartesian
3.0807 2.9598 0.0000
3.0228 -0.0631 2.1398
0.0579 3.0229 2.1398
0.0000 0.0000 0.0000
```

Computed properties:
Total DFT energy (no corrections)   -7.71 eV per cell
Energy of formation   635 meV per atom


Entry from Alexandria: crystalline RbSrRu2Rh at its relaxed geometry (PBE).

```
RbSrRu2Rh
1.0
-0.9120 4.6800 1.4333
-2.7340 0.9651 -4.8909
-4.2691 -1.4737 2.0956
Rb Ru Sr Rh
1 2 1 1
Cartesian
-1.3670 0.4826 -2.4454
-0.4560 2.3400 0.7167
-2.1345 -0.7369 1.0478
0.0000 0.0000 0.0000
-3.9575 2.0857 -0.6810
```

Computed properties:
Total DFT energy (no corrections)   -16.82 eV per cell
Energy of formation   2346 meV per atom


Entry from Alexandria: crystalline RbRh2S at its relaxed geometry (PBE).

```
RbRh2S
1.0
5.1861 0.0000 0.0000
0.0000 5.1861 0.0000
2.5931 2.5931 7.6138
Rb Rh S
2 4 2
Cartesian
5.1861 2.5931 3.8069
0.0000 0.0000 0.0000
2.5921 1.2965 1.9035
3.8896 5.1871 5.7104
2.5940 3.8896 1.9035
6.4826 5.1852 5.7104
2.5931 2.5931 0.0000
2.5931 5.1861 3.8069
```

Computed properties:
Raw formation energy   -0.0282 eV/atom
Total DFT energy (no corrections)   -39.82 eV per cell


Entry from Alexandria: crystalline RbRh2S2 at its relaxed geometry (PBE).

```
RbRh2S2
1.0
4.0226 0.0000 0.0000
0.0000 4.0226 0.0000
2.0113 2.0113 6.5739
Rb Rh S
1 2 2
Cartesian
0.0000 0.0000 0.0000
4.0226 2.0113 3.2870
2.0113 4.0226 3.2870
2.0113 2.0113 2.0081
4.0226 4.0226 4.5658
```

Computed properties:
Raw formation energy   -0.4982 eV/atom
Total DFT energy (no corrections)   -26.42 eV per cell


Entry from Alexandria: crystalline RbRh2S3 at its relaxed geometry (PBE).

```
RbRh2S3
1.0
-5.1495 -0.3638 2.0817
-2.8134 -0.0440 -6.9672
1.8199 -6.5437 3.3582
Rh S Rb
4 6 2
Cartesian
-4.8606 -0.2176 -4.6199
-0.5275 -0.0083 -1.3064
-2.2859 -0.0357 -5.6608
-3.1023 -0.1901 -0.2656
-0.5741 -5.2692 1.3799
-5.5690 -1.6823 -2.9072
-1.3482 -5.2813 -0.5370
-1.2100 -1.3201 0.4970
-4.7949 -1.6702 -0.9902
-4.9330 -5.6313 -2.0242
-3.6431 -3.7542 1.4948
-2.5000 -3.1973 -3.0221
```

Computed properties:
Raw formation energy   -0.4980 eV/atom
Total DFT energy (no corrections)   -62.08 eV per cell


Entry from Alexandria: crystalline RbRhS3 at its relaxed geometry (PBE).

```
RbRhS3
1.0
-2.7886 -0.3317 -3.9477
3.7745 -1.6886 -2.5244
-1.2031 -4.5287 1.2304
S Rh Rb
3 1 1
Cartesian
-0.6016 -2.2644 0.6152
-1.3943 -0.1658 -1.9739
1.8873 -0.8443 -1.2622
0.0000 0.0000 0.0000
-0.1086 -3.2745 -2.6209
```

Computed properties:
Raw formation energy   -0.1028 eV/atom
Total DFT energy (no corrections)   -21.22 eV per cell


Entry from Alexandria: crystalline RbRhS3 at its relaxed geometry (PBE).

```
RbRhS3
1.0
-4.7851 -0.6425 -2.7806
1.2896 -5.3294 -0.9878
-2.5459 -1.4920 4.7259
S Rh Rb
3 1 1
Cartesian
0.6448 -2.6647 -0.4939
-1.2729 -0.7460 2.3629
-2.3925 -0.3213 -1.3903
-3.0207 -3.7320 0.4787
0.0000 0.0000 0.0000
```

Computed properties:
Raw formation energy   1.9426 eV/atom
Total DFT energy (no corrections)   -10.99 eV per cell


Entry from Alexandria: crystalline Rb5RhS4 at its relaxed geometry (PBE).

```
Rb5RhS4
1.0
4.2361 0.0000 0.0000
0.0000 8.1271 -0.1268
-2.1181 -2.2769 9.3257
S Rb Rh
4 5 1
Cartesian
2.1181 0.1023 2.5342
0.0000 6.6245 0.0021
2.1181 -0.7743 9.1968
0.0000 5.7479 6.6648
2.1181 4.0636 -0.0634
2.1181 3.6463 6.3659
2.1181 -0.2876 6.0797
0.0000 6.1378 3.1192
0.0000 2.2039 2.8330
2.1181 0.0000 0.0000
```

Computed properties:
Raw formation energy   -0.5457 eV/atom
Total DFT energy (no corrections)   -34.16 eV per cell


Entry from Alexandria: crystalline RbRh2S4 at its relaxed geometry (PBE).

```
RbRh2S4
1.0
-0.7341 -6.7112 -2.8968
6.9172 1.4348 2.0161
-4.6259 -0.0389 5.7070
S Rh Rb
8 4 2
Cartesian
-2.9775 -4.0004 3.0647
3.8787 -0.1906 3.2112
-0.9548 -3.4034 0.8986
3.1678 -3.0362 2.4782
0.1028 -0.3640 2.9046
0.8752 0.1061 5.5071
0.1640 -2.7393 4.7739
-1.9195 -0.9612 5.0710
2.0214 -1.4649 3.9927
-1.4372 -2.1824 2.9846
4.3343 -1.4454 1.1392
-1.8043 -5.5379 1.5362
0.0000 0.0000 0.0000
1.7515 -4.3257 0.2622
```

Computed properties:
Raw formation energy   -0.3942 eV/atom
Total DFT energy (no corrections)   -69.88 eV per cell


Entry from Alexandria: crystalline RbRh2S2 at its relaxed geometry (PBE).

```
RbRh2S2
1.0
4.4769 0.0000 0.0000
0.0000 4.4769 0.0000
2.2385 2.2385 5.5203
Rh S Rb
2 2 1
Cartesian
2.2385 2.2385 2.0102
4.4769 4.4769 3.5101
4.4769 2.2385 2.7601
2.2385 4.4769 2.7601
0.0000 0.0000 0.0000
```

Computed properties:
Raw formation energy   -0.3175 eV/atom
Total DFT energy (no corrections)   -25.51 eV per cell


Entry from Alexandria: crystalline RbRh3S at its relaxed geometry (PBE).

```
RbRh3S
1.0
4.9267 0.0000 0.0000
0.0000 4.9267 0.0000
0.0000 0.0000 4.9267
Rh S Rb
3 1 1
Cartesian
0.0000 0.0000 2.4633
2.4633 0.0000 0.0000
0.0000 2.4633 0.0000
2.4633 2.4633 2.4633
0.0000 0.0000 0.0000
```

Computed properties:
Raw formation energy   2.4741 eV/atom
Total DFT energy (no corrections)   -14.78 eV per cell


Entry from Alexandria: crystalline RbRhS3 at its relaxed geometry (PBE).

```
RbRhS3
1.0
6.5146 0.0000 0.0000
3.2573 5.6418 0.0000
3.2573 1.8806 6.8994
Rh S Rb
2 6 2
Cartesian
6.5146 3.7612 0.0141
6.5146 3.7612 6.8852
6.5148 5.6541 1.4261
4.8754 4.7078 5.4733
8.1541 4.7075 5.4733
4.8752 2.8149 1.4261
8.1539 2.8145 1.4261
6.5144 1.8682 5.4733
9.7719 5.6418 2.3198
3.2573 1.8806 4.5796
```

Computed properties:
Raw formation energy   -0.4474 eV/atom
Total DFT energy (no corrections)   -45.88 eV per cell


Entry from Alexandria: crystalline RbRh3S at its relaxed geometry (PBE).

```
RbRh3S
1.0
4.5631 0.0000 0.0000
0.0000 4.5631 0.0000
0.0000 0.0000 4.5631
Rh Rb S
3 1 1
Cartesian
0.0000 0.0000 2.2815
2.2815 0.0000 0.0000
0.0000 2.2815 0.0000
2.2815 2.2815 2.2815
0.0000 0.0000 0.0000
```

Computed properties:
Raw formation energy   0.2695 eV/atom
Total DFT energy (no corrections)   -25.80 eV per cell


Entry from Alexandria: crystalline RbTe2RhS8 at its relaxed geometry (PBE).

```
RbTe2RhS8
1.0
-3.8094 3.9778 2.3577
3.1778 -3.5949 3.5877
7.6803 7.1442 0.3558
S Rh Te Rb
8 1 2 1
Cartesian
2.2266 7.2476 3.4312
2.8300 2.4625 2.0390
3.2721 1.8392 5.0123
7.8836 5.4732 3.5036
3.7765 5.6880 1.2890
-0.8349 2.0540 2.7976
4.8221 0.2796 2.8700
4.2186 5.0646 4.2622
3.8401 3.5721 0.1779
0.8342 3.6066 2.8749
6.2145 3.9206 3.4263
0.0000 0.0000 0.0000
```

Computed properties:
Raw formation energy   -0.0259 eV/atom
Total DFT energy (no corrections)   -47.93 eV per cell


Entry from Alexandria: crystalline Rb2TiRhS4 at its relaxed geometry (PBE).

```
Rb2TiRhS4
1.0
5.8459 0.0000 0.0000
2.9229 6.7370 0.0000
2.9229 0.0000 12.0346
S Ti Rb Rh
8 2 4 2
Cartesian
5.8858 2.0762 7.2414
4.3445 5.4447 1.2241
8.7289 4.6608 7.2414
4.4243 1.2923 1.2241
4.3445 1.2923 10.8106
10.2702 5.4447 10.8106
2.8830 2.0762 4.7933
5.8858 4.6608 4.7933
0.0000 0.0000 0.0000
7.3073 3.3685 6.0173
5.8459 0.0000 4.2800
7.3073 3.3685 10.2973
2.9229 0.0000 7.7547
7.3073 3.3685 1.7374
2.9229 0.0000 0.0000
4.3844 3.3685 6.0173
```

Computed properties:
Raw formation energy   -1.0171 eV/atom
Total DFT energy (no corrections)   -83.66 eV per cell


Entry from Alexandria: crystalline Rb2URh2S4 at its relaxed geometry (PBE).

```
Rb2URh2S4
1.0
-3.6043 -1.4620 0.4501
3.1451 -0.4058 6.8371
-3.0405 7.2152 -0.9117
S Rb Rh U
4 2 2 1
Cartesian
-3.5159 4.6084 3.8452
0.6190 0.5057 6.6001
0.0162 0.7390 2.5303
-4.1187 4.8417 -0.2246
-1.3544 3.7722 1.4069
-2.1453 1.5752 4.9686
0.8396 -0.6886 4.4872
-4.3393 6.0361 1.8883
0.0000 0.0000 0.0000
```

Computed properties:
Raw formation energy   -0.9800 eV/atom
Total DFT energy (no corrections)   -53.26 eV per cell


Entry from Alexandria: crystalline Rb3URh2S6 at its relaxed geometry (PBE).

```
Rb3URh2S6
1.0
6.4860 -0.0010 -0.0025
-3.2423 5.6175 -0.0025
-1.0854 -1.8794 7.6506
S Rh Rb U
6 2 3 1
Cartesian
0.0736 0.1275 6.3000
2.0847 3.6096 1.3457
-1.1589 2.0056 1.3592
3.3172 1.7315 6.2864
-0.1580 3.7385 6.2864
2.3163 -0.0015 1.3592
3.2433 1.8718 -0.0025
0.0004 3.7447 -0.0025
1.0792 1.8685 3.8228
4.3580 -0.0251 3.8228
-2.1996 3.7622 3.8228
0.0000 0.0000 0.0000
```

Computed properties:
Raw formation energy   -0.9041 eV/atom
Total DFT energy (no corrections)   -64.51 eV per cell


Entry from Alexandria: crystalline Rb2U2RhS6 at its relaxed geometry (PBE).

```
Rb2U2RhS6
1.0
6.5436 0.0177 0.0643
-3.2188 5.6972 0.0643
-1.1780 -2.0248 7.9629
S U Rh Rb
6 2 1 2
Cartesian
1.4991 -1.0166 5.4910
1.6667 2.8649 5.5455
3.7715 2.8894 2.6004
0.6477 4.7067 2.6004
0.4801 0.8252 2.5459
-1.6247 0.8007 5.4910
2.7028 0.8972 4.0457
-0.5559 2.7930 4.0457
-0.5890 -1.0124 3.9814
-1.5795 4.7435 0.0643
4.9043 0.9714 0.0643
```

Computed properties:
Raw formation energy   -1.1447 eV/atom
Total DFT energy (no corrections)   -69.22 eV per cell


Entry from Alexandria: crystalline Rb3U2RhS6 at its relaxed geometry (PBE).

```
Rb3U2RhS6
1.0
6.8226 -0.0010 0.0010
-3.4105 5.9090 0.0010
-1.1365 -1.9679 7.7292
S Rb U Rh
6 3 2 1
Cartesian
0.0417 3.9403 6.2661
3.3922 2.0053 6.2661
2.2963 3.9760 1.4592
-0.0207 -0.0358 6.2721
2.2339 -0.0001 1.4652
-1.1165 1.9349 1.4652
-2.2933 3.9517 3.8657
1.1378 1.9701 3.8657
4.5689 -0.0115 3.8657
3.4131 1.9681 0.0010
-0.0010 3.9399 0.0010
0.0000 0.0000 0.0000
```

Computed properties:
Raw formation energy   -1.1130 eV/atom
Total DFT energy (no corrections)   -70.95 eV per cell


Entry from Alexandria: crystalline RbU2RhS4 at its relaxed geometry (PBE).

```
RbU2RhS4
1.0
-3.6002 0.2562 -1.5875
3.8493 -4.0385 -4.4848
-3.8063 -11.2061 6.8239
U Rh S Rb
4 2 8 2
Cartesian
-2.0639 -13.3587 2.5248
-1.4933 -1.6297 -1.7732
-2.9133 -5.8101 0.7724
-0.6440 -9.1783 -0.0208
-0.2700 -4.1021 -0.0497
-3.2872 -10.8863 0.8013
-0.4298 -6.4814 -0.0713
-2.4473 -3.2543 0.1281
0.6765 -3.2243 -2.0547
-3.1275 -8.5070 0.8229
-1.1100 -11.7341 0.6235
0.0000 0.0000 0.0000
-1.9032 -5.6031 3.4119
-4.2338 -11.7641 2.8063
-1.1374 -5.7539 -3.2460
-2.4198 -9.2345 3.9976
```

Computed properties:
Raw formation energy   -1.2314 eV/atom
Total DFT energy (no corrections)   -114.51 eV per cell


Entry from Alexandria: crystalline Rb2URhS4 at its relaxed geometry (PBE).

```
Rb2URhS4
1.0
-6.0110 3.0038 0.7205
0.4557 -3.5138 -5.7550
1.1655 -4.6226 4.7903
S Rb Rh U
4 2 1 1
Cartesian
-1.2231 -5.0572 -1.0769
-4.8592 -0.0932 -1.8613
-2.9193 -1.3172 0.6854
0.2219 -3.7976 1.7644
-2.3724 -2.2891 -2.7584
0.0000 0.0000 0.0000
0.8106 -4.0682 -0.4823
-2.0175 -2.8435 2.5142
```

Computed properties:
Raw formation energy   -0.8425 eV/atom
Total DFT energy (no corrections)   -43.82 eV per cell